{
  "formula": "TmMgZn",
  "functional": "PBE-GGA",
  "state": "relaxed",
  "lattice": [[4.984, 0.000, 0.000], [-2.492, 4.316, 0.000], [0.000, 0.000, 6.052]],
  "species": ["Tm", "Tm", "Mg", "Mg", "Zn", "Zn"],
  "frac_coords": [[0.333, 0.667, 0.250], [0.667, 0.333, 0.750], [0.000, 0.000, 0.000], [0.000, 0.000, 0.500], [0.333, 0.667, 0.750], [0.667, 0.333, 0.250]],
  "m_tot_mub_per_cell": 0.00,
  "energy_ev_per_atom": -2.692,
  "formation_energy_ev_per_atom": -0.245
}



{
  "formula": "TmMg3Zn8",
  "functional": "PBE-GGA",
  "state": "relaxed",
  "lattice": [[5.232, 0.000, 0.000], [-2.616, 4.531, 0.000], [0.000, 0.000, 8.715]],
  "species": ["Tm", "Mg", "Mg", "Mg", "Zn", "Zn", "Zn", "Zn", "Zn", "Zn", "Zn", "Zn"],
  "frac_coords": [[0.000, 0.000, 0.000], [0.000, 0.000, 0.374], [0.667, 0.333, 0.498], [0.667, 0.333, 0.868], [0.163, 0.327, 0.686], [0.163, 0.837, 0.686], [0.333, 0.667, 0.444], [0.333, 0.667, 0.941], [0.503, 0.005, 0.194], [0.503, 0.497, 0.194], [0.673, 0.837, 0.686], [0.995, 0.497, 0.194]],
  "m_tot_mub_per_cell": 0.00,
  "energy_ev_per_atom": -1.807,
  "formation_energy_ev_per_atom": -0.186
}



{
  "formula": "TmMg3Zn8",
  "functional": "PBE-GGA",
  "state": "relaxed",
  "lattice": [[2.643, 1.526, 8.588], [-2.643, 1.526, 8.588], [0.000, -3.052, 8.588]],
  "species": ["Tm", "Mg", "Mg", "Mg", "Zn", "Zn", "Zn", "Zn", "Zn", "Zn", "Zn", "Zn"],
  "frac_coords": [[0.000, 0.000, 0.000], [0.378, 0.378, 0.378], [0.502, 0.502, 0.502], [0.875, 0.875, 0.875], [0.188, 0.188, 0.188], [0.438, 0.438, 0.936], [0.438, 0.936, 0.438], [0.440, 0.939, 0.939], [0.688, 0.688, 0.688], [0.936, 0.438, 0.438], [0.939, 0.440, 0.939], [0.939, 0.939, 0.440]],
  "m_tot_mub_per_cell": 0.00,
  "energy_ev_per_atom": -1.801,
  "formation_energy_ev_per_atom": -0.180
}



{
  "formula": "TmMg2Zn3",
  "functional": "PBE-GGA",
  "state": "relaxed",
  "lattice": [[4.748, 0.000, 0.000], [-2.374, 4.112, 0.000], [0.000, 0.000, 11.710]],
  "species": ["Tm", "Tm", "Mg", "Mg", "Mg", "Mg", "Zn", "Zn", "Zn", "Zn", "Zn", "Zn"],
  "frac_coords": [[0.333, 0.667, 0.162], [0.667, 0.333, 0.838], [0.000, 0.000, 0.000], [0.000, 0.000, 0.500], [0.333, 0.667, 0.664], [0.667, 0.333, 0.336], [0.000, 0.000, 0.258], [0.000, 0.000, 0.742], [0.333, 0.667, 0.414], [0.333, 0.667, 0.915], [0.667, 0.333, 0.085], [0.667, 0.333, 0.586]],
  "m_tot_mub_per_cell": 0.00,
  "energy_ev_per_atom": -2.139,
  "formation_energy_ev_per_atom": -0.225
}



{
  "formula": "Tm2MgZn",
  "functional": "PBE-GGA",
  "state": "relaxed",
  "lattice": [[3.500, 0.000, 0.000], [-1.750, 3.031, 0.000], [0.000, 0.000, 29.256]],
  "species": ["Tm", "Tm", "Tm", "Tm", "Tm", "Tm", "Mg", "Mg", "Mg", "Zn", "Zn", "Zn"],
  "frac_coords": [[0.000, 0.000, 0.242], [0.000, 0.000, 0.758], [0.333, 0.667, 0.424], [0.333, 0.667, 0.909], [0.667, 0.333, 0.091], [0.667, 0.333, 0.576], [0.000, 0.000, 0.000], [0.333, 0.667, 0.667], [0.667, 0.333, 0.333], [0.000, 0.000, 0.500], [0.333, 0.667, 0.167], [0.667, 0.333, 0.833]],
  "m_tot_mub_per_cell": 0.00,
  "energy_ev_per_atom": -3.014,
  "formation_energy_ev_per_atom": -0.061
}



{
  "formula": "Tm2Mg3Zn4",
  "functional": "PBE-GGA",
  "state": "relaxed",
  "lattice": [[2.940, -8.444, 0.000], [2.940, 8.444, 0.000], [0.000, 0.000, 7.456]],
  "species": ["Tm", "Tm", "Tm", "Tm", "Mg", "Mg", "Mg", "Mg", "Mg", "Mg", "Zn", "Zn", "Zn", "Zn", "Zn", "Zn", "Zn", "Zn"],
  "frac_coords": [[0.094, 0.906, 0.897], [0.406, 0.594, 0.397], [0.594, 0.406, 0.603], [0.906, 0.094, 0.103], [0.000, 0.000, 0.500], [0.011, 0.489, 0.750], [0.489, 0.011, 0.250], [0.500, 0.500, 0.000], [0.511, 0.989, 0.750], [0.989, 0.511, 0.250], [0.159, 0.841, 0.519], [0.176, 0.324, 0.750], [0.324, 0.176, 0.250], [0.341, 0.659, 0.019], [0.659, 0.341, 0.981], [0.676, 0.824, 0.750], [0.824, 0.676, 0.250], [0.841, 0.159, 0.481]],
  "m_tot_mub_per_cell": 0.00,
  "energy_ev_per_atom": -2.269,
  "formation_energy_ev_per_atom": -0.177
}



{
  "formula": "Tm2Mg3Zn2",
  "functional": "PBE-GGA",
  "state": "relaxed",
  "lattice": [[4.483, 0.000, 0.000], [0.000, 20.856, 0.000], [0.000, 0.000, 3.395]],
  "species": ["Tm", "Tm", "Tm", "Tm", "Mg", "Mg", "Mg", "Mg", "Mg", "Mg", "Zn", "Zn", "Zn", "Zn"],
  "frac_coords": [[0.000, 0.166, 0.000], [0.000, 0.834, 0.000], [0.500, 0.334, 0.000], [0.500, 0.666, 0.000], [0.000, 0.000, 0.000], [0.000, 0.423, 0.500], [0.000, 0.577, 0.500], [0.500, 0.077, 0.500], [0.500, 0.500, 0.000], [0.500, 0.923, 0.500], [0.000, 0.285, 0.500], [0.000, 0.715, 0.500], [0.500, 0.215, 0.500], [0.500, 0.785, 0.500]],
  "m_tot_mub_per_cell": 0.00,
  "energy_ev_per_atom": -2.501,
  "formation_energy_ev_per_atom": -0.176
}



{
  "formula": "Tm3Mg2Zn3",
  "functional": "PBE-GGA",
  "state": "relaxed",
  "lattice": [[3.458, 0.000, 0.000], [0.000, 5.046, 0.000], [0.000, 0.000, 20.309]],
  "species": ["Tm", "Tm", "Tm", "Tm", "Tm", "Tm", "Mg", "Mg", "Mg", "Mg", "Zn", "Zn", "Zn", "Zn", "Zn", "Zn"],
  "frac_coords": [[0.000, 0.000, 0.000], [0.000, 0.500, 0.121], [0.000, 0.500, 0.879], [0.500, 0.000, 0.379], [0.500, 0.000, 0.621], [0.500, 0.500, 0.500], [0.000, 0.000, 0.234], [0.000, 0.000, 0.766], [0.500, 0.500, 0.266], [0.500, 0.500, 0.734], [0.000, 0.000, 0.500], [0.000, 0.500, 0.379], [0.000, 0.500, 0.621], [0.500, 0.000, 0.121], [0.500, 0.000, 0.879], [0.500, 0.500, 0.000]],
  "m_tot_mub_per_cell": 0.00,
  "energy_ev_per_atom": -2.786,
  "formation_energy_ev_per_atom": -0.233
}



{
  "formula": "TmMg3Zn4",
  "functional": "PBE-GGA",
  "state": "relaxed",
  "lattice": [[4.619, 0.000, 0.000], [0.000, 4.619, 0.000], [0.000, 0.000, 7.079]],
  "species": ["Tm", "Mg", "Mg", "Mg", "Zn", "Zn", "Zn", "Zn"],
  "frac_coords": [[0.000, 0.000, 0.000], [0.000, 0.000, 0.500], [0.500, 0.500, 0.000], [0.500, 0.500, 0.500], [0.000, 0.500, 0.259], [0.000, 0.500, 0.741], [0.500, 0.000, 0.259], [0.500, 0.000, 0.741]],
  "m_tot_mub_per_cell": 0.00,
  "energy_ev_per_atom": -1.972,
  "formation_energy_ev_per_atom": -0.178
}



{
  "formula": "Tm2Mg2Zn",
  "functional": "PBE-GGA",
  "state": "relaxed",
  "lattice": [[3.477, 0.000, 0.000], [0.000, 3.477, 0.000], [0.000, 0.000, 19.901]],
  "species": ["Tm", "Tm", "Tm", "Tm", "Mg", "Mg", "Mg", "Mg", "Zn", "Zn"],
  "frac_coords": [[0.000, 0.000, 0.088], [0.000, 0.000, 0.912], [0.500, 0.500, 0.412], [0.500, 0.500, 0.588], [0.000, 0.000, 0.298], [0.000, 0.000, 0.702], [0.500, 0.500, 0.202], [0.500, 0.500, 0.798], [0.000, 0.000, 0.500], [0.500, 0.500, 0.000]],
  "m_tot_mub_per_cell": 0.00,
  "energy_ev_per_atom": -2.842,
  "formation_energy_ev_per_atom": -0.161
}



{
  "formula": "TmMg6Zn6",
  "functional": "PBE-GGA",
  "state": "relaxed",
  "lattice": [[-2.727, 4.680, 4.751], [2.727, -4.680, 4.751], [2.727, 4.680, -4.751]],
  "species": ["Tm", "Mg", "Mg", "Mg", "Mg", "Mg", "Mg", "Zn", "Zn", "Zn", "Zn", "Zn", "Zn"],
  "frac_coords": [[0.000, 0.000, 0.000], [0.194, 0.500, 0.694], [0.345, 0.345, 0.000], [0.346, 0.000, 0.346], [0.654, 0.000, 0.654], [0.655, 0.655, 0.000], [0.806, 0.500, 0.306], [0.000, 0.000, 0.500], [0.000, 0.500, 0.000], [0.224, 0.724, 0.500], [0.500, 0.000, 0.000], [0.500, 0.500, 0.500], [0.776, 0.276, 0.500]],
  "m_tot_mub_per_cell": 0.00,
  "energy_ev_per_atom": -1.810,
  "formation_energy_ev_per_atom": -0.142
}



{
  "formula": "Tm3Mg4Zn4",
  "functional": "PBE-GGA",
  "state": "relaxed",
  "lattice": [[-1.843, 4.151, 7.873], [1.843, -4.151, 7.873], [1.843, 4.151, -7.873]],
  "species": ["Tm", "Tm", "Tm", "Mg", "Mg", "Mg", "Mg", "Zn", "Zn", "Zn", "Zn"],
  "frac_coords": [[0.000, 0.000, 0.000], [0.393, 0.893, 0.500], [0.607, 0.107, 0.500], [0.020, 0.331, 0.689], [0.358, 0.669, 0.689], [0.642, 0.331, 0.311], [0.980, 0.669, 0.311], [0.250, 0.250, 0.000], [0.292, 0.500, 0.792], [0.708, 0.500, 0.208], [0.750, 0.750, 0.000]],
  "m_tot_mub_per_cell": 0.00,
  "energy_ev_per_atom": -2.458,
  "formation_energy_ev_per_atom": -0.196
}